Record 1
# BeFe2Te

A relaxed structure of BeFe2Te (PBE, the Alexandria database).

Calculated values
Its space group is No. 99. The volume is 55 Å³/cell. For the total moment, the calculation gives 4.18 μB/cell. The energy above the most stable polymorph in this dataset comes out at 0 meV per atom. The value obtained for the uncorrected formation energy is 0.2464 eV/atom.

CIF file:
```
data_BeFe2Te
_space_group_name_H-M_alt 'P 1'
_space_group_IT_number 1
_cell_length_a 3.183
_cell_length_b 3.181
_cell_length_c 5.390
_cell_angle_alpha 90.01
_cell_angle_beta 90.00
_cell_angle_gamma 90.00
loop_
_space_group_symop_operation_xyz
'x,y,z'
loop_
_atom_site_label
_atom_site_type_symbol
_atom_site_fract_x
_atom_site_fract_y
_atom_site_fract_z
_atom_site_occupancy
Fe1 Fe 0.500 0.375 0.227 1
Te1 Te 0.000 0.875 0.488 1
Be1 Be 0.500 0.375 0.815 1
Fe2 Fe 0.000 0.875 0.971 1
```

=====

Record 2
# BeFeTe2

A relaxed structure of BeFeTe2 (PBE, the Alexandria database).

Calculated values
Its space group is No. 47. The volume is 108 Å³/cell. For the total moment, the calculation gives 3.43 μB/cell. The value obtained for the uncorrected formation energy is 0.5497 eV/atom.

CIF file:
```
data_BeFeTe2
_space_group_name_H-M_alt 'P 1'
_space_group_IT_number 1
_cell_length_a 3.696
_cell_length_b 8.036
_cell_length_c 3.650
_cell_angle_alpha 90.00
_cell_angle_beta 90.00
_cell_angle_gamma 90.00
loop_
_space_group_symop_operation_xyz
'x,y,z'
loop_
_atom_site_label
_atom_site_type_symbol
_atom_site_fract_x
_atom_site_fract_y
_atom_site_fract_z
_atom_site_occupancy
Te1 Te 0.500 0.500 0.000 1
Be1 Be 0.500 0.000 0.500 1
Te2 Te 0.000 0.000 0.000 1
Fe1 Fe 0.000 0.500 0.500 1
```

=====

Record 3
# BeFeTe

A relaxed structure of BeFeTe (PBE, the Alexandria database).

Calculated values
Its space group is No. 187. The volume is 45 Å³/cell. For the total moment, the calculation gives 1.79 μB/cell. The energy above the most stable polymorph in this dataset comes out at 206 meV per atom. The value obtained for the uncorrected formation energy is 0.4471 eV/atom.

CIF file:
```
data_BeFeTe
_space_group_name_H-M_alt 'P 1'
_space_group_IT_number 1
_cell_length_a 3.852
_cell_length_b 3.852
_cell_length_c 3.515
_cell_angle_alpha 90.00
_cell_angle_beta 90.00
_cell_angle_gamma 120.00
loop_
_space_group_symop_operation_xyz
'x,y,z'
loop_
_atom_site_label
_atom_site_type_symbol
_atom_site_fract_x
_atom_site_fract_y
_atom_site_fract_z
_atom_site_occupancy
Fe1 Fe 0.333 0.667 0.167 1
Te1 Te 0.667 0.333 0.667 1
Be1 Be 0.000 0.000 0.166 1
```

=====

Record 4
# BeFe2Te

A relaxed structure of BeFe2Te (PBE, the Alexandria database).

Calculated values
Its space group is No. 166. The volume is 59 Å³/cell. For the total moment, the calculation gives 4.55 μB/cell. The energy above the most stable polymorph in this dataset comes out at 2 meV per atom. The value obtained for the uncorrected formation energy is 0.2480 eV/atom.

CIF file:
```
data_BeFe2Te
_space_group_name_H-M_alt 'P 1'
_space_group_IT_number 1
_cell_length_a 5.044
_cell_length_b 5.044
_cell_length_c 5.044
_cell_angle_alpha 45.34
_cell_angle_beta 45.34
_cell_angle_gamma 45.34
loop_
_space_group_symop_operation_xyz
'x,y,z'
loop_
_atom_site_label
_atom_site_type_symbol
_atom_site_fract_x
_atom_site_fract_y
_atom_site_fract_z
_atom_site_occupancy
Fe1 Fe 0.455 0.455 0.455 1
Te1 Te 0.250 0.250 0.250 1
Be1 Be 0.750 0.750 0.750 1
Fe2 Fe 0.045 0.045 0.045 1
```

=====

| no. | mass density (g cm⁻³) |
| --- | --- |
| 1 | 7.55 |
| 2 | 4.90 |
| 3 | 7.07 |
| 4 | 6.97 |